(1)
First-principles (PBE) data for an optimized crystal structure of MgMnAg2Au, as listed in Alexandria.

Lattice parameters (Å, degrees): 5.1695 4.8971 5.1695 90.00 90.00 90.00
Last column: nearest neighbours and their distance in Å.
Positions (direct):
Mg: 0.0000 0.5000 0.0000  2 Au 2.45
Mn: 0.5000 0.5000 0.5000  8 Ag 3.56, 4 Mg 3.66
Au: 0.0000 0.0000 0.0000  2 Mg 2.45, 4 Ag 2.58
Ag: 0.0000 0.0000 0.5000  2 Au 2.58
Ag: 0.5000 0.0000 0.0000  2 Au 2.58

Summary:
Raw total energy in eV/cell: -16.34
Magnetic moment in μB per cell: 4.72

---

(2)
First-principles (PBE) data for an optimized crystal structure of NdMgAgAu, as listed in Alexandria.

Lattice parameters (Å, degrees): 5.0333 5.0333 5.0333 60.00 60.00 60.00
Last column: nearest neighbours and their distance in Å.
Positions (direct):
Nd: 0.0000 0.0000 0.0000  4 Ag 3.08, 4 Au 3.08
Mg: 0.5000 0.5000 0.5000  4 Au 3.08, 4 Ag 3.08
Au: 0.7500 0.7500 0.7500  4 Mg 3.08, 4 Nd 3.08
Ag: 0.2500 0.2500 0.2500  4 Nd 3.08, 4 Mg 3.08

Summary:
Raw total energy in eV/cell: -14.53
Magnetic moment in μB per cell: 0.00

---

(3)
First-principles (PBE) data for an optimized crystal structure of NdMg2AgAu4, as listed in Alexandria.

Lattice parameters (Å, degrees): 4.6416 4.6416 9.3166 75.58 75.58 60.00
Last column: nearest neighbours and their distance in Å.
Positions (direct):
Nd: 0.0000 0.0000 0.0000  8 Au 3.13-3.25
Mg: 0.7663 0.7663 0.7012  7 Au 2.74-3.01
Mg: 0.2337 0.2337 0.2988  7 Au 2.74-3.01
Ag: 0.5000 0.5000 0.5000  8 Au 2.84-2.94
Au: 0.3941 0.3941 0.8177  1 Ag 2.84, 3 Mg 2.87, 3 Au 3.13, 3 Nd 3.13
Au: 0.8786 0.8786 0.3642  4 Mg 2.74-3.01, 3 Ag 2.94
Au: 0.1214 0.1214 0.6358  4 Mg 2.74-3.01, 3 Ag 2.94
Au: 0.6059 0.6059 0.1823  1 Ag 2.84, 3 Mg 2.87, 3 Au 3.13, 3 Nd 3.13

Summary:
Raw total energy in eV/cell: -28.12
Magnetic moment in μB per cell: 0.00